Entry from the Alexandria database: a relaxed KMn2Pt crystal (PBE).

Lattice parameters (Å, degrees): 2.9017 3.8892 7.7317 90.00 90.00 90.00
With the nearest neighbours (Å) after each atom.
Fractional coordinates of all 4 atoms:
K  0.5000  0.5000  0.7292  2 K 2.90
Pt  0.0000  0.0000  0.4152  5 Mn 2.56-2.67
Mn  0.5000  0.5000  0.2720  4 Pt 2.67, 6 Mn 2.83-2.90
Mn  0.0000  0.0000  0.0836  1 Pt 2.56, 4 Mn 2.83

Energy above the lowest structure with this stoichiometry in meV/atom: 13
Magnetic moment in μB per atom: 2.0837
ΔH_f (0 K) in eV/atom: 0.36
D(E_F) in states/eV/f.u.: 3.0
Final energy in eV per atom: -6.01
Crystal system: orthorhombic
Volume in A^3/atom: 21.81

---

Entry from the Alexandria database: a relaxed SbAs2W crystal (PBE).

Lattice parameters (Å, degrees): 4.9793 4.9793 4.0321 73.93 73.93 111.73
With the nearest neighbours (Å) after each atom.
Fractional coordinates of all 4 atoms:
Sb  0.5000  0.0000  0.5000  4 As 2.74, 2 W 2.79
W  0.0000  0.5000  0.5000  4 As 2.74, 2 Sb 2.79
As  0.0000  0.0000  0.0000  2 W 2.74, 2 Sb 2.74, 2 As 2.79
As  0.5000  0.5000  0.0000  2 Sb 2.74, 2 W 2.74, 2 As 2.79

Magnetic moment in μB per atom: 0.0000
D(E_F) in states/eV/f.u.: 3.1
Final energy in eV per atom: -5.89
Crystal system: monoclinic
Volume in A^3/atom: 20.20

---

Entry from the Alexandria database: a relaxed LiDyZr2N4 crystal (PBE).

Lattice parameters (Å, degrees): 3.2713 5.6069 11.0549 90.00 90.00 106.96
With the nearest neighbours (Å) after each atom.
Fractional coordinates of all 16 atoms:
Zr  0.3667  0.7335  0.5586  6 N 2.20-2.30
N  0.0000  0.0000  0.5000  4 Zr 2.27
N  0.5504  0.1007  0.2500  2 Li 1.98
Li  0.8448  0.6896  0.7500  4 N 1.90-1.98
N  0.7352  0.4705  0.6144  1 Li 1.90
N  0.4496  0.8993  0.7500  2 Li 1.98
Zr  0.6333  0.2665  0.4414  6 N 2.20-2.30
Zr  0.3667  0.7335  0.9414  6 N 2.20-2.30
N  0.7352  0.4705  0.8856  1 Li 1.90
N  0.0000  0.0000  0.0000  4 Zr 2.27
Zr  0.6333  0.2665  0.0586  6 N 2.20-2.30
Dy  0.8927  0.7854  0.2500  6 N 2.35-2.61
N  0.2648  0.5295  0.3856  1 Li 1.90
N  0.2648  0.5295  0.1144  1 Li 1.90
Dy  0.1073  0.2146  0.7500  6 N 2.35-2.61
Li  0.1552  0.3104  0.2500  4 N 1.90-1.98

Magnetic moment in μB per atom: 0.0000
D(E_F) in states/eV/f.u.: 0.3
Final energy in eV per atom: -8.56
Crystal system: orthorhombic
Volume in A^3/atom: 12.12

---

Entry from the Alexandria database: a relaxed KPaSe2 crystal (PBE).

Lattice parameters (Å, degrees): 4.1223 4.1223 8.4250 75.84 75.84 60.00
With the nearest neighbours (Å) after each atom.
Fractional coordinates of all 4 atoms:
Pa  0.6676  0.6676  0.9971  6 Se 2.93-2.94
Se  0.0715  0.0715  0.7855  3 Pa 2.93, 3 K 3.27
Se  0.2633  0.2633  0.2102  3 Pa 2.94
K  0.4976  0.4976  0.5071  6 Se 3.27-3.38

Magnetic moment in μB per atom: 0.4958
D(E_F) in states/eV/f.u.: 4.9
Final energy in eV per atom: -5.68
Crystal system: trigonal
Volume in A^3/atom: 29.73

---

Entry from the Alexandria database: a relaxed BaCd2Pb crystal (PBE).

Lattice parameters (Å, degrees): 5.2857 5.2857 11.4032 76.60 76.60 90.00
With the nearest neighbours (Å) after each atom.
Fractional coordinates of all 8 atoms:
Cd  0.7555  0.1250  0.2500  2 Cd 2.93, 2 Pb 3.07
Cd  0.9945  0.6250  0.2500  2 Cd 2.93, 2 Pb 3.07
Pb  0.7500  0.2500  0.5000  4 Cd 3.07
Cd  0.3750  0.2445  0.7500  2 Cd 2.93, 2 Pb 3.07
Ba  0.2500  0.7500  0.5000  4 Cd 3.61, 4 Pb 3.74
Ba  0.5000  0.5000  0.0000  4 Cd 3.61, 4 Pb 3.74
Pb  0.0000  0.0000  0.0000  4 Cd 3.07
Cd  0.8750  0.0055  0.7500  2 Cd 2.93, 2 Pb 3.07

Magnetic moment in μB per atom: 0.0000
ΔH_f (0 K) in eV/atom: -0.14
D(E_F) in states/eV/f.u.: 3.5
Final energy in eV per atom: -2.00
Crystal system: tetragonal
Volume in A^3/atom: 37.62

---

Entry from the Alexandria database: a relaxed TmAgSn2Te4 crystal (PBE).

Lattice parameters (Å, degrees): 4.4192 7.6546 7.7610 109.72 90.00 90.00
With the nearest neighbours (Å) after each atom.
Fractional coordinates of all 8 atoms:
Sn  0.5000  0.0000  0.5000  6 Te 3.19-3.23
Te  0.0000  0.7420  0.2389  2 Tm 3.07, 1 Ag 3.13, 3 Sn 3.17-3.19
Ag  0.0000  0.0000  0.0000  6 Te 3.06-3.13
Tm  0.5000  0.5000  0.0000  6 Te 3.07
Te  0.5000  0.7561  0.7683  2 Ag 3.06, 1 Tm 3.07, 3 Sn 3.21-3.23
Sn  0.0000  0.5000  0.5000  6 Te 3.17-3.21
Te  0.5000  0.2439  0.2317  2 Ag 3.06, 1 Tm 3.07, 3 Sn 3.21-3.23
Te  0.0000  0.2580  0.7611  2 Tm 3.07, 1 Ag 3.13, 3 Sn 3.17-3.19

Magnetic moment in μB per atom: 0.0000
D(E_F) in states/eV/f.u.: 0.2
Final energy in eV per atom: -4.00
Crystal system: monoclinic
Volume in A^3/atom: 30.89

---

Entry from the Alexandria database: a relaxed PmGdAlPb crystal (PBE).

Lattice parameters (Å, degrees): 5.3755 5.3755 5.3755 60.00 60.00 60.00
With the nearest neighbours (Å) after each atom.
Fractional coordinates of all 4 atoms:
Al  0.7500  0.7500  0.7500  4 Gd 3.29, 4 Pm 3.29
Pm  0.5000  0.5000  0.5000  4 Pb 3.29, 4 Al 3.29
Pb  0.2500  0.2500  0.2500  4 Gd 3.29, 4 Pm 3.29
Gd  0.0000  0.0000  0.0000  4 Al 3.29, 4 Pb 3.29

Magnetic moment in μB per atom: 1.7958
ΔH_f (0 K) in eV/atom: -0.36
D(E_F) in states/eV/f.u.: 3.0
Final energy in eV per atom: -6.93
Crystal system: cubic
Volume in A^3/atom: 27.46

---

Entry from the Alexandria database: a relaxed BaIrCl crystal (PBE).

Lattice parameters (Å, degrees): 4.5288 5.9255 18.0176 90.00 90.00 90.00
With the nearest neighbours (Å) after each atom.
Fractional coordinates of all 12 atoms:
Ir  0.2505  0.7500  0.7705  2 Ir 2.38
Ir  0.7495  0.2500  0.2295  2 Ir 2.38
Ba  0.2503  0.7500  0.5945  4 Cl 3.17-3.19, 3 Ir 3.17-3.32
Cl  0.7503  0.7500  0.4715  4 Ba 3.17-3.19
Cl  0.7497  0.2500  0.9715  4 Ba 3.17-3.19
Cl  0.2497  0.2500  0.5285  4 Ba 3.17-3.19
Ba  0.7497  0.2500  0.4055  4 Cl 3.17-3.19, 3 Ir 3.17-3.32
Ba  0.7503  0.7500  0.9055  4 Cl 3.17-3.19, 3 Ir 3.17-3.32
Ir  0.2495  0.2500  0.2705  2 Ir 2.38
Ir  0.7505  0.7500  0.7295  2 Ir 2.38
Ba  0.2497  0.2500  0.0945  4 Cl 3.17-3.19, 3 Ir 3.17-3.32
Cl  0.2503  0.7500  0.0285  4 Ba 3.17-3.19

Energy above the lowest structure with this stoichiometry in meV/atom: 375
Magnetic moment in μB per atom: 0.0939
D(E_F) in states/eV/f.u.: 2.0
Final energy in eV per atom: -5.02
Crystal system: orthorhombic
Volume in A^3/atom: 40.29

---

Entry from the Alexandria database: a relaxed LiFe2RuN crystal (PBE).

Lattice parameters (Å, degrees): 3.7843 3.7843 3.9889 90.00 90.00 90.00
With the nearest neighbours (Å) after each atom.
Fractional coordinates of all 5 atoms:
Fe  0.0000  0.5000  0.0000  2 N 1.89
Li  0.5000  0.5000  0.5000  4 Ru 2.68, 8 Fe 2.75
Ru  0.0000  0.0000  0.5000  2 N 1.99
N  0.0000  0.0000  0.0000  4 Fe 1.89, 2 Ru 1.99
Fe  0.5000  0.0000  0.0000  2 N 1.89

Magnetic moment in μB per atom: 0.8106
D(E_F) in states/eV/f.u.: 2.8
Final energy in eV per atom: -7.28
Crystal system: tetragonal
Volume in A^3/atom: 11.43

---

Entry from the Alexandria database: a relaxed VB3H crystal (PBE).

Lattice parameters (Å, degrees): 4.0391 4.0391 4.0391 90.00 90.00 90.00
With the nearest neighbours (Å) after each atom.
Fractional coordinates of all 5 atoms:
B  0.0000  0.5000  0.0000  2 V 2.02
B  0.5000  0.0000  0.0000  2 V 2.02
B  0.0000  0.0000  0.5000  2 V 2.02
H  0.5000  0.5000  0.5000  12 B 2.86
V  0.0000  0.0000  0.0000  6 B 2.02

Energy above the lowest structure with this stoichiometry in meV/atom: 1369
Magnetic moment in μB per atom: 0.0769
D(E_F) in states/eV/f.u.: 3.8
Final energy in eV per atom: -4.44
Crystal system: cubic
Volume in A^3/atom: 13.18

---

Entry from the Alexandria database: a relaxed La2Bi3Rh2 crystal (PBE).

Lattice parameters (Å, degrees): 4.3351 5.8410 8.3110 108.68 90.00 111.78
With the nearest neighbours (Å) after each atom.
Fractional coordinates of all 7 atoms:
La  0.8487  0.6974  0.1962  3 Rh 3.02-3.35
Rh  0.8338  0.6675  0.7657  5 Bi 2.86-3.05, 2 La 3.02
Bi  0.3752  0.7504  0.5584  3 Rh 2.86-2.90, 1 Bi 3.18
Rh  0.1662  0.3325  0.2343  5 Bi 2.86-3.05, 2 La 3.02
La  0.1513  0.3026  0.8038  3 Rh 3.02-3.35
Bi  0.6248  0.2496  0.4416  3 Rh 2.86-2.90, 1 Bi 3.18
Bi  0.5000  0.0000  0.0000  4 Rh 3.05

Magnetic moment in μB per atom: 0.0001
ΔH_f (0 K) in eV/atom: -0.59
D(E_F) in states/eV/f.u.: 6.8
Final energy in eV per atom: -5.76
Crystal system: monoclinic
Volume in A^3/atom: 26.20

---

Entry from the Alexandria database: a relaxed KBeFe2 crystal (PBE).

Lattice parameters (Å, degrees): 2.9344 2.9344 7.7303 90.00 90.00 90.00
With the nearest neighbours (Å) after each atom.
Fractional coordinates of all 4 atoms:
K  0.0000  0.0000  0.5170  4 K 2.93
Be  0.5000  0.5000  0.8571  5 Fe 2.24-2.28
Fe  0.0000  0.0000  0.9789  4 Be 2.28, 4 Fe 2.45
Fe  0.5000  0.5000  0.1470  1 Be 2.24, 4 Fe 2.45

Magnetic moment in μB per atom: 1.0243
ΔH_f (0 K) in eV/atom: 0.58
D(E_F) in states/eV/f.u.: 3.2
Final energy in eV per atom: -4.86
Crystal system: tetragonal
Volume in A^3/atom: 16.64

---

> The highest magnetic moment belongs to which entry?

KMn2Pt

---

> Look up the volume of the fifth one.

37.62 A^3/atom

---

> Among the records above, which one has the lowest D(E_F)?

TmAgSn2Te4